A relaxed TbDyGa2 crystal. Source: Alexandria via LeMat-Bulk, functional GGA-PBE.

Summary:
Total magnetization = 0.00 μB/f.u.
Final energy = -4.246 eV/atom
SG = R-3m, No. 166
E_form = -0.424 eV/atom
Energy above the lowest structure with this stoichiometry = 0.205 eV per atom

Geometry as CIF:
```
data_TbDyGa2
_chemical_formula_sum 'Tb1 Dy1 Ga2'
_symmetry_space_group_name_H-M 'P 1'
_symmetry_Int_Tables_number 1
_cell_length_a 8.941
_cell_length_b 8.941
_cell_length_c 8.941
_cell_angle_alpha 23.63
_cell_angle_beta 23.63
_cell_angle_gamma 23.63
loop_
_symmetry_equiv_pos_as_xyz
'x,y,z'
loop_
_atom_site_label
_atom_site_fract_x
_atom_site_fract_y
_atom_site_fract_z
Tb1 0.000 0.000 0.000
Dy1 0.500 0.500 0.500
Ga1 0.250 0.250 0.250
Ga2 0.750 0.750 0.750
```